[1]
Th3Al after structural relaxation, computed with PBE.

Cell and atoms, written as CIF:
```
data_Th3Al
_chemical_formula_sum 'Th3 Al1'
_cell_length_a 6.031
_cell_length_b 6.031
_cell_length_c 6.031
_cell_angle_alpha 133.00
_cell_angle_beta 133.00
_cell_angle_gamma 68.66
_symmetry_space_group_name_H-M 'P 1'
_symmetry_Int_Tables_number 1
_symmetry_space_group_name_Hall 'P 1'
loop_
_atom_site_label
_atom_site_fract_x
_atom_site_fract_y
_atom_site_fract_z
_atom_site_occupancy
Al1 0.000 0.000 0.000 1
Th1 0.500 0.500 0.000 1
Th2 0.750 0.250 0.500 1
Th3 0.250 0.750 0.500 1
```

Computed properties:
Energy (eV per atom): -6.585

[2]
Th3Al2 after structural relaxation, computed with PBE.

Cell and atoms, written as CIF:
```
data_Th3Al2
_chemical_formula_sum 'Th6 Al4'
_cell_length_a 6.637
_cell_length_b 6.637
_cell_length_c 8.394
_cell_angle_alpha 113.29
_cell_angle_beta 66.71
_cell_angle_gamma 120.00
_symmetry_space_group_name_H-M 'P 1'
_symmetry_Int_Tables_number 1
_symmetry_space_group_name_Hall 'P 1'
loop_
_atom_site_label
_atom_site_fract_x
_atom_site_fract_y
_atom_site_fract_z
_atom_site_occupancy
Al1 0.306 0.694 0.082 1
Al2 0.194 0.806 0.418 1
Al3 0.806 0.194 0.582 1
Al4 0.694 0.306 0.918 1
Th1 0.250 0.211 0.250 1
Th2 0.789 0.289 0.250 1
Th3 0.711 0.750 0.250 1
Th4 0.289 0.250 0.750 1
Th5 0.211 0.711 0.750 1
Th6 0.750 0.789 0.750 1
```

Computed properties:
Energy (eV per atom): -5.965

[3]
Th3Al after structural relaxation, computed with PBE.

Cell and atoms, written as CIF:
```
data_Th3Al
_chemical_formula_sum 'Th3 Al1'
_cell_length_a 5.481
_cell_length_b 5.481
_cell_length_c 5.481
_cell_angle_alpha 60.00
_cell_angle_beta 60.00
_cell_angle_gamma 60.00
_symmetry_space_group_name_H-M 'P 1'
_symmetry_Int_Tables_number 1
_symmetry_space_group_name_Hall 'P 1'
loop_
_atom_site_label
_atom_site_fract_x
_atom_site_fract_y
_atom_site_fract_z
_atom_site_occupancy
Al1 0.750 0.750 0.750 1
Th1 0.000 0.000 0.000 1
Th2 0.250 0.250 0.250 1
Th3 0.500 0.500 0.500 1
```

Computed properties:
Energy (eV per atom): -6.423

[4]
ThAlTl after structural relaxation, computed with PBE.

Cell and atoms, written as CIF:
```
data_ThAlTl
_chemical_formula_sum 'Th1 Al1 Tl1'
_cell_length_a 4.922
_cell_length_b 4.922
_cell_length_c 4.922
_cell_angle_alpha 60.00
_cell_angle_beta 60.00
_cell_angle_gamma 60.00
_symmetry_space_group_name_H-M 'P 1'
_symmetry_Int_Tables_number 1
_symmetry_space_group_name_Hall 'P 1'
loop_
_atom_site_label
_atom_site_fract_x
_atom_site_fract_y
_atom_site_fract_z
_atom_site_occupancy
Al1 0.000 0.000 0.000 1
Th1 0.250 0.250 0.250 1
Tl1 0.750 0.750 0.750 1
```

Computed properties:
Energy (eV per atom): -4.388

no.,total moment (μB per cell)
1,0.0
2,0.0
3,0.0
4,0.0